Model 1:
A relaxed SrCa2Ni crystal. Source: Alexandria via LeMat-Bulk, functional PBE-GGA.

Unit cell a=4.853 b=4.853 c=5.316 alpha=90.00 beta=90.00 gamma=90.00
Space group P4/mmm (No. 123)
Symmetry-distinct sites (fractional):
Sr  0.000  0.000  0.000 x1
Ca  0.000  0.500  0.500 x2
Ni  0.500  0.500  0.000 x1

Values from the calculation:
- mass density (g/cm³) = 3.00
- DOS at the Fermi energy (states/eV/cell) = 4.7

=====

Model 2:
A relaxed SrCa2Ni crystal. Source: Alexandria via LeMat-Bulk, functional PBE-GGA.

Unit cell a=5.082 b=5.082 c=9.732 alpha=90.00 beta=90.00 gamma=90.00
Space group I-4m2 (No. 119)
Symmetry-distinct sites (fractional):
Sr  0.000  0.000  0.000 x2
Ca  0.000  0.000  0.500 x2
Ca  0.000  0.500  0.750 x2
Ni  0.000  0.500  0.250 x2

Values from the calculation:
- mass density (g/cm³) = 2.99
- DOS at the Fermi energy (states/eV/cell) = 7.2

=====

Model 3:
A relaxed SrCa2Ni crystal. Source: Alexandria via LeMat-Bulk, functional PBE-GGA.

Unit cell a=4.802 b=4.802 c=10.919 alpha=90.00 beta=90.00 gamma=90.00
Space group I4/mmm (No. 139)
Symmetry-distinct sites (fractional):
Sr  0.000  0.000  0.000 x2
Ca  0.000  0.500  0.250 x4
Ni  0.000  0.000  0.500 x2

Values from the calculation:
- mass density (g/cm³) = 2.99
- DOS at the Fermi energy (states/eV/cell) = 5.6

=====

Ordering by calculated energy gives the sequence model 1, model 3, model 2, with the first entry being the most stable.

=====

Model 1:
A relaxed SrCa2Ni crystal. Source: Alexandria via LeMat-Bulk, functional PBE-GGA.

Unit cell a=6.730 b=11.651 c=3.775 alpha=90.00 beta=118.59 gamma=90.00
Space group C2/m (No. 12)
Symmetry-distinct sites (fractional):
Sr  0.000  0.000  0.000 x2
Ca  0.250  0.250  0.500 x4
Ni  0.000  0.500  0.000 x2

Values from the calculation:
- mass density (g/cm³) = 2.89
- DOS at the Fermi energy (states/eV/cell) = 7.2

=====

Model 2:
A relaxed SrCa2Ni crystal. Source: Alexandria via LeMat-Bulk, functional PBE-GGA.

Unit cell a=4.0863 b=4.0863 c=29.9194 alpha=90.00 beta=90.00 gamma=120.00
Space group R-3m (No. 166, hexagonal axes)
Symmetry-distinct sites (fractional):
Sr  0.0000  0.0000  0.0000 x3
Ca  0.0000  0.0000  0.2175 x6
Ni  0.0000  0.0000  0.5000 x3

Values from the calculation:
- mass density (g/cm³) = 2.61
- DOS at the Fermi energy (states/eV/cell) = 6.8

=====

Model 3:
A relaxed SrCa2Ni crystal. Source: Alexandria via LeMat-Bulk, functional PBE-GGA.

Unit cell a=6.086 b=4.015 c=6.728 alpha=90.00 beta=116.71 gamma=90.00
Space group P2/m (No. 10)
Symmetry-distinct sites (fractional):
Sr  0.000  0.000  0.000 x1
Ca  0.342  0.500  0.685 x2
Ni  0.500  0.000  0.000 x1

Values from the calculation:
- mass density (g/cm³) = 2.56
- DOS at the Fermi energy (states/eV/cell) = 3.3

=====

Ordering by calculated energy gives the sequence model 3, model 2, model 1, with the first entry being the most stable.

=====

Model 1:
A relaxed SrCaNi3 crystal. Source: Alexandria via LeMat-Bulk, functional PBE-GGA.

Unit cell a=4.860 b=4.860 c=4.860 alpha=90.00 beta=90.00 gamma=90.00
Space group Pm-3m (No. 221)
Symmetry-distinct sites (fractional):
Sr  0.000  0.000  0.000 x1
Ca  0.500  0.500  0.500 x1
Ni  0.000  0.500  0.500 x3

Values from the calculation:
- mass density (g/cm³) = 4.40
- DOS at the Fermi energy (states/eV/cell) = 2.7

=====

Model 2:
A relaxed SrCaNi3 crystal. Source: Alexandria via LeMat-Bulk, functional PBE-GGA.

Unit cell a=4.950 b=4.950 c=4.950 alpha=90.00 beta=90.00 gamma=90.00
Space group Pm-3m (No. 221)
Symmetry-distinct sites (fractional):
Sr  0.000  0.000  0.000 x1
Ca  0.500  0.500  0.500 x1
Ni  0.000  0.000  0.500 x3

Values from the calculation:
- mass density (g/cm³) = 4.16
- DOS at the Fermi energy (states/eV/cell) = 4.8

=====

Ordering by calculated energy gives the sequence model 1, model 2, with the first entry being the most stable.

=====

Model 1:
A relaxed SrCaNi4 crystal. Source: Alexandria via LeMat-Bulk, functional PBE-GGA.

Unit cell a=5.1682 b=5.1682 c=8.5340 alpha=90.00 beta=90.00 gamma=120.00
Space group P-3m1 (No. 164)
Symmetry-distinct sites (fractional):
Sr  0.3333  0.6667  0.0684 x2
Ca  0.3333  0.6667  0.4398 x2
Ni  0.0000  0.0000  0.0000 x1
Ni  0.0000  0.0000  0.5000 x1
Ni  0.1629  0.3257  0.7414 x6

Values from the calculation:
- mass density (g/cm³) = 6.10
- DOS at the Fermi energy (states/eV/cell) = 11.1

=====

Model 2:
A relaxed SrCaNi4 crystal. Source: Alexandria via LeMat-Bulk, functional PBE-GGA.

Unit cell a=7.318 b=7.318 c=7.318 alpha=90.00 beta=90.00 gamma=90.00
Space group F-43m (No. 216)
Symmetry-distinct sites (fractional):
Sr  0.000  0.000  0.000 x4
Ca  0.250  0.250  0.250 x4
Ni  0.124  0.124  0.624 x16

Values from the calculation:
- mass density (g/cm³) = 6.14
- DOS at the Fermi energy (states/eV/cell) = 21.8

=====

Ordering by calculated energy gives the sequence model 2, model 1, with the first entry being the most stable.

=====

Model 1:
A relaxed SrCa4Ni crystal. Source: Alexandria via LeMat-Bulk, functional PBE-GGA.

Unit cell a=10.273 b=7.096 c=6.686 alpha=90.00 beta=99.10 gamma=90.00
Space group P2_1/c (No. 14)
Symmetry-distinct sites (fractional):
Sr  0.000  0.000  0.000 x2
Ca  0.255  0.106  0.568 x4
Ca  0.400  0.642  0.631 x4
Ni  0.500  0.000  0.500 x2

Values from the calculation:
- mass density (g/cm³) = 2.12
- DOS at the Fermi energy (states/eV/cell) = 8.5

=====

Model 2:
A relaxed SrCa4Ni crystal. Source: Alexandria via LeMat-Bulk, functional PBE-GGA.

Unit cell a=9.840 b=9.840 c=9.840 alpha=90.00 beta=90.00 gamma=90.00
Space group F-43m (No. 216)
Symmetry-distinct sites (fractional):
Sr  0.000  0.000  0.000 x4
Ca  0.125  0.125  0.625 x16
Ni  0.250  0.250  0.250 x4

Values from the calculation:
- mass density (g/cm³) = 2.14
- DOS at the Fermi energy (states/eV/cell) = 44.1

=====

Ordering by calculated energy gives the sequence model 1, model 2, with the first entry being the most stable.

=====

Model 1:
A relaxed Sr2CaNi2 crystal. Source: Alexandria via LeMat-Bulk, functional PBE-GGA.

Unit cell a=7.780 b=7.780 c=4.534 alpha=90.00 beta=90.00 gamma=90.00
Space group P4/mbm (No. 127)
Symmetry-distinct sites (fractional):
Sr  0.169  0.331  0.000 x4
Ca  0.000  0.000  0.500 x2
Ni  0.107  0.607  0.500 x4

Values from the calculation:
- mass density (g/cm³) = 4.03
- DOS at the Fermi energy (states/eV/cell) = 3.1

=====

Model 2:
A relaxed Sr2CaNi2 crystal. Source: Alexandria via LeMat-Bulk, functional PBE-GGA.

Unit cell a=4.795 b=4.795 c=12.373 alpha=90.00 beta=90.00 gamma=90.00
Space group I4/mmm (No. 139)
Symmetry-distinct sites (fractional):
Sr  0.000  0.500  0.250 x4
Ca  0.000  0.000  0.000 x2
Ni  0.000  0.000  0.407 x4

Values from the calculation:
- mass density (g/cm³) = 3.88
- DOS at the Fermi energy (states/eV/cell) = 0.4

=====

Ordering by calculated energy gives the sequence model 1, model 2, with the first entry being the most stable.

=====

Model 1:
A relaxed Sr2CaTlNi crystal. Source: Alexandria via LeMat-Bulk, functional PBE-GGA.

Unit cell a=5.725 b=5.725 c=5.445 alpha=90.00 beta=90.00 gamma=90.00
Space group P4/mmm (No. 123)
Symmetry-distinct sites (fractional):
Sr  0.000  0.500  0.000 x2
Ca  0.000  0.000  0.500 x1
Tl  0.500  0.500  0.500 x1
Ni  0.000  0.000  0.000 x1

Values from the calculation:
- mass density (g/cm³) = 4.45
- DOS at the Fermi energy (states/eV/cell) = 2.9

=====

Model 2:
A relaxed Sr2CaTlNi crystal. Source: Alexandria via LeMat-Bulk, functional PBE-GGA.

Unit cell a=5.801 b=5.801 c=5.148 alpha=90.00 beta=90.00 gamma=90.00
Space group P4/mmm (No. 123)
Symmetry-distinct sites (fractional):
Sr  0.000  0.500  0.000 x2
Ca  0.000  0.000  0.500 x1
Tl  0.500  0.500  0.500 x1
Ni  0.500  0.500  0.000 x1

Values from the calculation:
- mass density (g/cm³) = 4.59
- DOS at the Fermi energy (states/eV/cell) = 5.8

=====

Ordering by calculated energy gives the sequence model 1, model 2, with the first entry being the most stable.

=====

Model 1:
A relaxed Ca2TaNi crystal. Source: Alexandria via LeMat-Bulk, functional PBE-GGA.

Unit cell a=3.071 b=3.094 c=9.121 alpha=90.00 beta=90.00 gamma=90.00
Space group Pmmm (No. 47)
Symmetry-distinct sites (fractional):
Ca  0.000  0.000  0.212 x2
Ta  0.500  0.500  0.500 x1
Ni  0.500  0.500  0.000 x1

Values from the calculation:
- mass density (g/cm³) = 6.13
- DOS at the Fermi energy (states/eV/cell) = 5.3

=====

Model 2:
A relaxed Ca2TaNi crystal. Source: Alexandria via LeMat-Bulk, functional PBE-GGA.

Unit cell a=4.092 b=4.092 c=10.039 alpha=90.00 beta=90.00 gamma=90.00
Space group I4/mmm (No. 139)
Symmetry-distinct sites (fractional):
Ca  0.000  0.500  0.250 x4
Ta  0.000  0.000  0.000 x2
Ni  0.000  0.000  0.500 x2

Values from the calculation:
- mass density (g/cm³) = 6.32
- DOS at the Fermi energy (states/eV/cell) = 11.8

=====

Ordering by calculated energy gives the sequence model 1, model 2, with the first entry being the most stable.

=====

Model 1:
A relaxed Ca2TaNi crystal. Source: Alexandria via LeMat-Bulk, functional PBE-GGA.

Unit cell a=10.208 b=10.208 c=4.665 alpha=90.00 beta=90.00 gamma=90.00
Space group I-42d (No. 122)
Symmetry-distinct sites (fractional):
Ca  0.101  0.250  0.125 x8
Ta  0.000  0.000  0.500 x4
Ni  0.000  0.000  0.000 x4

Values from the calculation:
- mass density (g/cm³) = 4.37
- DOS at the Fermi energy (states/eV/cell) = 19.1

=====

Model 2:
A relaxed Ca2TaNi crystal. Source: Alexandria via LeMat-Bulk, functional PBE-GGA.

Unit cell a=3.306 b=3.306 c=8.990 alpha=90.00 beta=90.00 gamma=90.00
Space group P4mm (No. 99)
Symmetry-distinct sites (fractional):
Ca  0.000  0.000  0.000 x1
Ca  0.500  0.500  0.372 x1
Ta  0.500  0.500  0.728 x1
Ni  0.000  0.000  0.616 x1

Values from the calculation:
- mass density (g/cm³) = 5.40
- DOS at the Fermi energy (states/eV/cell) = 4.5

=====

Ordering by calculated energy gives the sequence model 2, model 1, with the first entry being the most stable.

=====

Model 1:
A relaxed CaTaNi2 crystal. Source: Alexandria via LeMat-Bulk, functional PBE-GGA.

Unit cell a=4.2400 b=4.2400 c=15.0048 alpha=90.00 beta=90.00 gamma=120.00
Space group R-3m (No. 166, hexagonal axes)
Symmetry-distinct sites (fractional):
Ca  0.0000  0.0000  0.0000 x3
Ta  0.0000  0.0000  0.5000 x3
Ni  0.0000  0.0000  0.1972 x6

Values from the calculation:
- mass density (g/cm³) = 7.22
- DOS at the Fermi energy (states/eV/cell) = 9.6

=====

Model 2:
A relaxed CaTaNi2 crystal. Source: Alexandria via LeMat-Bulk, functional PBE-GGA.

Unit cell a=3.167 b=3.203 c=6.880 alpha=90.00 beta=90.00 gamma=90.00
Space group Pmmm (No. 47)
Symmetry-distinct sites (fractional):
Ca  0.000  0.000  0.000 x1
Ta  0.000  0.000  0.500 x1
Ni  0.500  0.500  0.314 x2

Values from the calculation:
- mass density (g/cm³) = 8.05
- DOS at the Fermi energy (states/eV/cell) = 2.3

=====

Model 3:
A relaxed CaTaNi2 crystal. Source: Alexandria via LeMat-Bulk, functional PBE-GGA.

Unit cell a=10.070 b=2.745 c=4.787 alpha=90.00 beta=103.02 gamma=90.00
Space group Cm (No. 8)
Symmetry-distinct sites (fractional):
Ca  0.000  0.000  0.000 x2
Ta  0.208  0.000  0.611 x2
Ni  0.258  0.500  0.147 x2
Ni  0.455  0.000  0.483 x2

Values from the calculation:
- mass density (g/cm³) = 8.72
- DOS at the Fermi energy (states/eV/cell) = 7.5

=====

Model 4:
A relaxed CaTaNi2 crystal. Source: Alexandria via LeMat-Bulk, functional PBE-GGA.

Unit cell a=4.768 b=4.768 c=2.825 alpha=90.00 beta=90.00 gamma=90.00
Space group P4/mmm (No. 123)
Symmetry-distinct sites (fractional):
Ca  0.000  0.000  0.000 x1
Ta  0.500  0.500  0.000 x1
Ni  0.000  0.500  0.500 x2

Values from the calculation:
- mass density (g/cm³) = 8.75
- DOS at the Fermi energy (states/eV/cell) = 1.7

=====

Ordering by calculated energy gives the sequence model 2, model 1, model 4, model 3, with the first entry being the most stable.

=====

Model 1:
A relaxed CaTaNi2 crystal. Source: Alexandria via LeMat-Bulk, functional PBE-GGA.

Unit cell a=2.9851 b=2.9851 c=26.4958 alpha=90.00 beta=90.00 gamma=120.00
Space group R3m (No. 160, hexagonal axes)
Symmetry-distinct sites (fractional):
Ca  0.0000  0.0000  0.0000 x3
Ta  0.0000  0.0000  0.7751 x3
Ni  0.0000  0.0000  0.2496 x3
Ni  0.0000  0.0000  0.5140 x3

Values from the calculation:
- mass density (g/cm³) = 8.25
- DOS at the Fermi energy (states/eV/cell) = 9.2

=====

Model 2:
A relaxed CaTaNi2 crystal. Source: Alexandria via LeMat-Bulk, functional PBE-GGA.

Unit cell a=3.225 b=3.225 c=6.871 alpha=90.00 beta=90.00 gamma=90.00
Space group P4mm (No. 99)
Symmetry-distinct sites (fractional):
Ca  0.000  0.000  0.000 x1
Ta  0.500  0.500  0.626 x1
Ni  0.000  0.000  0.459 x1
Ni  0.500  0.500  0.277 x1

Values from the calculation:
- mass density (g/cm³) = 7.86
- DOS at the Fermi energy (states/eV/cell) = 4.2

=====

Ordering by calculated energy gives the sequence model 2, model 1, with the first entry being the most stable.

=====

Model 1:
A relaxed Ca3TaNi crystal. Source: Alexandria via LeMat-Bulk, functional PBE-GGA.

Unit cell a=5.506 b=5.506 c=5.506 alpha=90.00 beta=90.00 gamma=90.00
Space group Pm-3m (No. 221)
Symmetry-distinct sites (fractional):
Ca  0.000  0.000  0.500 x3
Ta  0.000  0.000  0.000 x1
Ni  0.500  0.500  0.500 x1

Values from the calculation:
- mass density (g/cm³) = 3.58
- DOS at the Fermi energy (states/eV/cell) = 8.7

=====

Model 2:
A relaxed Ca3TaNi crystal. Source: Alexandria via LeMat-Bulk, functional PBE-GGA.

Unit cell a=5.291 b=5.291 c=5.291 alpha=90.00 beta=90.00 gamma=90.00
Space group Pm-3m (No. 221)
Symmetry-distinct sites (fractional):
Ca  0.000  0.000  0.500 x3
Ta  0.500  0.500  0.500 x1
Ni  0.000  0.000  0.000 x1

Values from the calculation:
- mass density (g/cm³) = 4.03
- DOS at the Fermi energy (states/eV/cell) = 4.8

=====

Ordering by calculated energy gives the sequence model 2, model 1, with the first entry being the most stable.